P) The following is a meta-GGA SCAN calculation of Li2MnFe3O8 at its PBEsol-relaxed geometry, from Alexandria.

```
Li2MnFe3O8
1.0
5.6235 0.0000 0.0000
2.8118 4.8701 0.0000
2.8118 1.6234 4.6280
Fe O Li Mn
3 8 2 1
Direct
0.0000 0.5000 0.0000
0.5000 0.0000 0.0000
0.5000 0.5000 0.0000
0.7377 0.7377 0.2377
0.7131 0.2623 0.7623
0.2869 0.7377 0.2377
0.2623 0.2623 0.7623
0.7367 0.7367 0.7900
0.2623 0.7131 0.7623
0.2633 0.2633 0.2100
0.7377 0.2869 0.2377
0.8743 0.8743 0.3772
0.1257 0.1257 0.6228
0.5000 0.5000 0.5000
```

Q) The following is a meta-GGA SCAN calculation of Li2MnFe3O8 at its PBEsol-relaxed geometry, from Alexandria.

```
Li2MnFe3O8
1.0
5.5693 0.0000 0.0000
2.7847 4.7448 0.0382
2.7847 1.5991 4.8838
O Mn Li Fe
8 1 2 3
Direct
0.2362 0.7418 0.7859
0.7638 0.2582 0.2141
0.7355 0.7417 0.7872
0.2376 0.2344 0.7918
0.2638 0.7656 0.2082
0.7624 0.7656 0.2082
0.2645 0.2583 0.2128
0.7362 0.2344 0.7918
0.0000 0.0000 0.0000
0.5000 0.0000 0.5000
0.0000 0.0000 0.5000
0.5000 0.5000 0.0000
0.5000 0.0000 0.0000
0.0000 0.5000 0.0000
```

R) The following is a meta-GGA SCAN calculation of Li2MnFe3O8 at its PBEsol-relaxed geometry, from Alexandria.

```
Li2MnFe3O8
1.0
5.5329 0.0000 0.0000
-2.7665 4.7916 0.0000
0.0000 0.0000 9.1795
O Fe Li Mn
16 6 4 2
Direct
0.1669 0.3339 0.8991
0.9616 0.4808 0.6568
0.4808 0.5192 0.1568
0.8331 0.6661 0.3991
0.0000 0.0000 0.1956
0.1669 0.8331 0.8991
0.3333 0.6667 0.4016
0.8331 0.1669 0.3991
0.4808 0.9616 0.1568
0.3339 0.1669 0.3991
0.6667 0.3333 0.9016
0.5192 0.0384 0.6568
0.0000 0.0000 0.6956
0.6661 0.8331 0.8991
0.5192 0.4808 0.6568
0.0384 0.5192 0.1568
0.3499 0.1750 0.7865
0.8250 0.1750 0.7865
0.1750 0.3499 0.2865
0.8250 0.6501 0.7865
0.1750 0.8250 0.2865
0.6501 0.8250 0.2865
0.0000 0.0000 0.5045
0.6667 0.3333 0.1061
0.3333 0.6667 0.6061
0.0000 0.0000 0.0045
0.3333 0.6667 0.0111
0.6667 0.3333 0.5111
```

Computed energies relative to the best structure, in kJ/mol of atoms: P) 0.0; Q) 7.1; R) 5.2

P) The following is a meta-GGA SCAN calculation of LiFeN2 at its PBEsol-relaxed geometry, from Alexandria.

```
LiFeN2
1.0
-1.4112 -4.1018 1.2605
2.8219 2.5709 3.4312
-4.2910 1.3388 -0.4476
N Li Fe
4 2 2
Direct
0.3092 0.2500 0.3750
0.9408 0.2500 0.8750
0.1250 0.7500 0.6908
0.6250 0.7500 0.0592
0.7500 0.5000 0.2500
0.5000 0.0000 0.5000
0.2500 0.5000 0.7500
0.0000 0.0000 0.0000
```

Q) The following is a meta-GGA SCAN calculation of LiFeN2 at its PBEsol-relaxed geometry, from Alexandria.

```
LiFeN2
1.0
-1.8323 -0.7256 1.9524
-0.5480 -2.6802 0.4604
3.5040 -1.3338 4.7635
N Fe Li
2 1 1
Direct
0.1060 0.1060 0.6819
0.8940 0.8940 0.3181
0.5000 0.5000 0.5000
0.0000 0.0000 0.0000
```

Computed energies relative to the best structure, in kJ/mol of atoms: P) 0.0; Q) 24.3

P) The following is a meta-GGA SCAN calculation of Li2NbFe at its PBEsol-relaxed geometry, from Alexandria.

```
Li2NbFe
1.0
4.2004 0.0000 0.0000
2.1002 3.6377 0.0000
2.1002 1.2126 3.4296
Li Nb Fe
2 1 1
Direct
0.7500 0.7500 0.7500
0.2500 0.2500 0.2500
0.5000 0.5000 0.5000
0.0000 0.0000 0.0000
```

Q) The following is a meta-GGA SCAN calculation of Li2NbFe at its PBEsol-relaxed geometry, from Alexandria.

```
Li2NbFe
1.0
-3.1266 0.9145 3.3084
-3.8180 -3.8136 0.7040
1.2928 -1.7892 4.9743
Nb Li Fe
2 4 2
Direct
0.0000 0.0000 0.0000
0.7500 0.5000 0.5000
0.5951 0.5299 0.0299
0.1549 0.4701 0.9701
0.8750 0.9701 0.5299
0.3750 0.0299 0.4701
0.2500 0.5000 0.5000
0.5000 0.0000 0.0000
```

Computed energies relative to the best structure, in kJ/mol of atoms: P) 0.0; Q) 15.2